1.
Computed, not measured: a relaxed structure of HfIn2Ag2 at the PBE level of DFT.

Structure (CIF):
```
data_HfIn2Ag2
_space_group_name_H-M_alt 'I 4/m m m'
_space_group_IT_number 139
_space_group_name_Hall '-I 4 2'
_cell_length_a 4.1666
_cell_length_b 4.1666
_cell_length_c 12.0896
_cell_angle_alpha 90.00
_cell_angle_beta 90.00
_cell_angle_gamma 90.00
loop_
_atom_site_label
_atom_site_fract_x
_atom_site_fract_y
_atom_site_fract_z
_atom_site_occupancy
Hf1 0.0000 0.0000 0.0000 1
In1 0.0000 0.0000 0.3930 1
Ag1 0.0000 0.5000 0.2500 1
```

Output
The final energy comes out at -3.992 eV per atom. The distance to the lowest polymorph of the same formula is 0.000 eV/atom. The spin magnetization is 0.00 μB/atom.

2.
Computed, not measured: a relaxed structure of LaPuTe at the PBE level of DFT.

Structure (CIF):
```
data_LaPuTe
_space_group_name_H-M_alt 'F -4 3 m'
_space_group_IT_number 216
_space_group_name_Hall 'F -4 2 3'
_cell_length_a 7.5097
_cell_length_b 7.5097
_cell_length_c 7.5097
_cell_angle_alpha 90.00
_cell_angle_beta 90.00
_cell_angle_gamma 90.00
loop_
_atom_site_label
_atom_site_fract_x
_atom_site_fract_y
_atom_site_fract_z
_atom_site_occupancy
La1 0.0000 0.0000 0.0000 1
Pu1 0.2500 0.2500 0.7500 1
Te1 0.2500 0.2500 0.2500 1
```

Output
The final energy comes out at -7.500 eV per atom. The distance to the lowest polymorph of the same formula is 0.446 eV/atom. The spin magnetization is 2.72 μB/atom.

3.
Computed, not measured: a relaxed structure of TlCuNiAg at the PBE level of DFT.

Structure (CIF):
```
data_TlCuNiAg
_space_group_name_H-M_alt 'F -4 3 m'
_space_group_IT_number 216
_space_group_name_Hall 'F -4 2 3'
_cell_length_a 6.3296
_cell_length_b 6.3296
_cell_length_c 6.3296
_cell_angle_alpha 90.00
_cell_angle_beta 90.00
_cell_angle_gamma 90.00
loop_
_atom_site_label
_atom_site_fract_x
_atom_site_fract_y
_atom_site_fract_z
_atom_site_occupancy
Tl1 0.0000 0.0000 0.0000 1
Cu1 0.2500 0.2500 0.2500 1
Ni1 0.2500 0.2500 0.7500 1
Ag1 0.0000 0.0000 0.5000 1
```

Output
The final energy comes out at -3.400 eV per atom. The distance to the lowest polymorph of the same formula is 0.000 eV/atom. The spin magnetization is 0.00 μB/atom.

What did the second record say?
Computed, not measured: a relaxed structure of LaPuTe at the PBE level of DFT.

Structure (CIF):
```
data_LaPuTe
_space_group_name_H-M_alt 'F -4 3 m'
_space_group_IT_number 216
_space_group_name_Hall 'F -4 2 3'
_cell_length_a 7.5097
_cell_length_b 7.5097
_cell_length_c 7.5097
_cell_angle_alpha 90.00
_cell_angle_beta 90.00
_cell_angle_gamma 90.00
loop_
_atom_site_label
_atom_site_fract_x
_atom_site_fract_y
_atom_site_fract_z
_atom_site_occupancy
La1 0.0000 0.0000 0.0000 1
Pu1 0.2500 0.2500 0.7500 1
Te1 0.2500 0.2500 0.2500 1
```

Output
The final energy comes out at -7.500 eV per atom. The distance to the lowest polymorph of the same formula is 0.446 eV/atom. The spin magnetization is 2.72 μB/atom.